A geometry-optimized PrCoNi3 structure. Source: Alexandria, functional PBE.

Density of states at the Fermi level = 12.3 states/eV/cell
M_tot = 2.25 μB/f.u.
Energy of formation from the pure elements = -0.009 eV per atom

The structure in POSCAR format:
```
PrCoNi3
1.0
5.241 0.000 0.000
0.000 5.865 0.000
0.000 -2.933 5.079
Pr Co Ni
2 2 6
Cartesian
3.934 2.933 1.693
1.307 0.000 3.386
0.000 0.000 0.000
2.620 0.000 0.000
3.927 1.209 4.084
1.314 2.933 3.089
1.313 1.724 0.994
3.927 0.000 1.990
1.313 4.142 0.994
3.927 -1.210 4.084
```